The following is a DFT calculation (GGA+U) of crystalline VReNi2O6 at its relaxed geometry.

## Properties
Final energy ... -6.607 eV per atom
Spin magnetization ... 2.5 Bohr magnetons per cell
Calculated density ... 6.04 g/cm³
Space group ... P4mm, No. 99

abc: 5.738 5.738 3.765
angles: 90.00 90.00 90.00
Atoms (fractional coordinates):
V1 0.000 0.000 0.000
Re1 0.500 0.500 0.047
Ni1 0.000 0.500 0.130
Ni2 0.500 0.000 0.130
O1 0.000 0.000 0.543
O2 0.251 0.251 0.060
O3 0.251 0.749 0.060
O4 0.500 0.500 0.550
O5 0.749 0.251 0.060
O6 0.749 0.749 0.060